[1]
Cs3AcLa2Se6 | PBE-GGA | relaxed

total moment: 0.00 μB/f.u.
symmetry: C2/m
VASP energy: -4.929 eV/atom
DOS(E_F): 0.00 states/eV per cell
formation energy from raw total energies: -1.809 eV per atom

Unit cell a=7.879 b=7.879 c=8.795 alpha=98.59 beta=98.59 gamma=120.00
Fractional coordinates of all 12 atoms:
Cs: 0.000 0.000 0.000
Cs: 0.334 0.666 0.000
Cs: 0.666 0.334 0.000
Ac: 0.500 0.500 0.500
La: 0.167 0.833 0.500
La: 0.833 0.167 0.500
Se: 0.095 0.436 0.308
Se: 0.223 0.223 0.692
Se: 0.436 0.095 0.308
Se: 0.564 0.905 0.692
Se: 0.777 0.777 0.308
Se: 0.905 0.564 0.692

***

[2]
Cs3AcLa2Te6 | PBE-GGA | relaxed

total moment: 0.00 μB/f.u.
symmetry: C2/m
VASP energy: -4.449 eV/atom
DOS(E_F): 0.00 states/eV per cell
formation energy from raw total energies: -1.501 eV per atom

Unit cell a=8.344 b=8.344 c=9.368 alpha=98.53 beta=98.53 gamma=120.01
Fractional coordinates of all 12 atoms:
Cs: 0.000 0.000 0.000
Cs: 0.335 0.665 0.000
Cs: 0.665 0.335 0.000
Ac: 0.500 0.500 0.500
La: 0.167 0.833 0.500
La: 0.833 0.167 0.500
Te: 0.093 0.434 0.302
Te: 0.225 0.225 0.698
Te: 0.434 0.093 0.302
Te: 0.566 0.907 0.698
Te: 0.775 0.775 0.302
Te: 0.907 0.566 0.698

***

[3]
Cs4AcLa3Te8 | PBE-GGA | relaxed

total moment: 0.00 μB/f.u.
symmetry: R-3m
VASP energy: -4.465 eV/atom
DOS(E_F): 0.00 states/eV per cell
formation energy from raw total energies: -1.500 eV per atom

Unit cell a=10.521 b=10.521 c=10.521 alpha=54.36 beta=54.36 gamma=54.36
Fractional coordinates of all 16 atoms:
Cs: 0.000 0.000 0.000
Cs: 0.000 0.500 0.500
Cs: 0.500 0.000 0.500
Cs: 0.500 0.500 0.000
Ac: 0.500 0.500 0.500
La: 0.000 0.000 0.500
La: 0.000 0.500 0.000
La: 0.500 0.000 0.000
Te: 0.226 0.736 0.736
Te: 0.232 0.232 0.232
Te: 0.264 0.264 0.774
Te: 0.264 0.774 0.264
Te: 0.736 0.226 0.736
Te: 0.736 0.736 0.226
Te: 0.768 0.768 0.768
Te: 0.774 0.264 0.264

***

[4]
CsAc3La2Te6 | PBE-GGA | relaxed

total moment: 0.00 μB/f.u.
symmetry: C2/m
VASP energy: -4.946 eV/atom
DOS(E_F): 5.93 states/eV per cell
formation energy from raw total energies: -1.456 eV per atom

Unit cell a=10.641 b=10.641 c=9.703 alpha=102.73 beta=102.73 gamma=25.51
Fractional coordinates of all 12 atoms:
Cs: 0.000 0.000 0.000
Ac: 0.000 0.000 0.500
Ac: 0.339 0.339 0.175
Ac: 0.661 0.661 0.825
La: 0.329 0.329 0.654
La: 0.671 0.671 0.346
Te: 0.167 0.167 0.580
Te: 0.176 0.176 0.094
Te: 0.493 0.493 0.729
Te: 0.507 0.507 0.271
Te: 0.824 0.824 0.906
Te: 0.833 0.833 0.420

***

[5]
Cs4Ac3LaTe8 | PBE-GGA | relaxed

total moment: 0.00 μB/f.u.
symmetry: R-3m
VASP energy: -4.365 eV/atom
DOS(E_F): 0.00 states/eV per cell
formation energy from raw total energies: -1.503 eV per atom

Unit cell a=10.591 b=10.591 c=10.591 alpha=54.81 beta=54.81 gamma=54.81
Fractional coordinates of all 16 atoms:
Cs: 0.000 0.000 0.000
Cs: 0.000 0.500 0.500
Cs: 0.500 0.000 0.500
Cs: 0.500 0.500 0.000
Ac: 0.000 0.000 0.500
Ac: 0.000 0.500 0.000
Ac: 0.500 0.000 0.000
La: 0.500 0.500 0.500
Te: 0.234 0.234 0.234
Te: 0.240 0.730 0.730
Te: 0.270 0.270 0.760
Te: 0.270 0.760 0.270
Te: 0.730 0.240 0.730
Te: 0.730 0.730 0.240
Te: 0.760 0.270 0.270
Te: 0.766 0.766 0.766

***

[6]
CsLiAc2O4 | PBE-GGA | relaxed

total moment: 0.00 μB/f.u.
symmetry: Cmcm
VASP energy: -6.485 eV/atom
DOS(E_F): 0.00 states/eV per cell
formation energy from raw total energies: -2.632 eV per atom

Unit cell a=6.817 b=6.817 c=12.485 alpha=90.00 beta=90.00 gamma=147.01
Fractional coordinates of all 16 atoms:
Cs: 0.099 0.901 0.750
Cs: 0.901 0.099 0.250
Li: 0.186 0.814 0.250
Li: 0.814 0.186 0.750
Ac: 0.367 0.633 0.557
Ac: 0.367 0.633 0.943
Ac: 0.633 0.367 0.057
Ac: 0.633 0.367 0.443
O: 0.000 0.000 0.000
O: 0.000 0.000 0.500
O: 0.246 0.754 0.101
O: 0.246 0.754 0.399
O: 0.390 0.610 0.750
O: 0.610 0.390 0.250
O: 0.754 0.246 0.601
O: 0.754 0.246 0.899